A relaxed ZrTeAs4 crystal, computed with GGA-PBE.

Total energy (eV/atom): -4.8905
M_tot (μB per atom): 0.0000
Formation energy (no corrections) (meV per atom): 158
Crystal system: cubic

Lattice parameters (Å, degrees): 7.953 7.953 7.953 90.00 90.00 90.00
Space group F-43m (No. 216)
Symmetry-distinct sites (fractional):
Zr 0.000 0.000 0.000
Te 0.250 0.250 0.250
As 0.126 0.126 0.626

***

A relaxed Mg4HgPd2 crystal, computed with GGA-PBE.

Total energy (eV/atom): -2.9008
M_tot (μB per atom): 0.0000
Formation energy (eV/f.u.): -3.24
Crystal system: triclinic

Lattice parameters (Å, degrees): 6.485 6.501 7.286 89.99 63.70 89.98
Space group P1 (No. 1)
Symmetry-distinct sites (fractional):
Mg 0.000 0.000 0.000
Mg 0.000 0.477 0.001
Mg 0.261 0.998 0.474
Mg 0.262 0.477 0.475
Mg 0.492 0.001 0.000
Mg 0.493 0.476 0.000
Mg 0.755 0.000 0.477
Mg 0.757 0.480 0.475
Hg 0.376 0.739 0.740
Hg 0.875 0.739 0.743
Pd 0.122 0.238 0.248
Pd 0.626 0.739 0.240
Pd 0.633 0.239 0.228
Pd 0.881 0.238 0.732

***

A relaxed DyPuCu2Si2 crystal, computed with GGA-PBE.

Total energy (eV/atom): -6.8237
M_tot (μB per atom): 0.8592
Formation energy (no corrections) (meV per atom): -495
Crystal system: trigonal

Lattice parameters (Å, degrees): 4.1359 4.1359 7.6143 90.00 90.00 120.00
Space group P-3m1 (No. 164)
Symmetry-distinct sites (fractional):
Dy 0.0000 0.0000 0.0000
Pu 0.0000 0.0000 0.5000
Cu 0.3333 0.6667 0.2418
Si 0.3333 0.6667 0.7492

***

A relaxed MgB6H10O15 crystal, computed with GGA-PBE.

Total energy (eV/atom): -6.4975
M_tot (μB per atom): 0.0000
Crystal system: orthorhombic

Lattice parameters (Å, degrees): 14.888 9.830 8.262 90.00 90.00 90.00
Space group Pna2_1 (No. 33)
Symmetry-distinct sites (fractional):
Mg 0.133 0.186 0.000
B 0.065 0.667 0.456
B 0.192 0.809 0.359
B 0.199 0.541 0.360
B 0.202 0.182 0.653
B 0.236 0.910 0.092
B 0.248 0.445 0.098
H 0.021 0.188 0.303
H 0.026 0.916 0.476
H 0.029 0.684 0.010
H 0.038 0.432 0.055
H 0.039 0.956 0.959
H 0.051 0.417 0.530
H 0.074 0.256 0.699
H 0.082 0.817 0.760
H 0.157 0.088 0.288
H 0.167 0.250 0.311
O 0.001 0.375 0.591
O 0.023 0.339 0.018
O 0.031 0.044 0.017
O 0.041 0.809 0.851
O 0.101 0.792 0.425
O 0.111 0.548 0.435
O 0.122 0.201 0.753
O 0.134 0.178 0.254
O 0.193 0.918 0.240
O 0.200 0.435 0.239
O 0.202 0.056 0.561
O 0.218 0.297 0.545
O 0.220 0.676 0.279
O 0.230 0.022 0.988
O 0.242 0.333 0.993

***

A relaxed HfHPd crystal, computed with GGA-PBE.

Total energy (eV/atom): -6.8261
M_tot (μB per atom): 0.0000
Crystal system: tetragonal

Lattice parameters (Å, degrees): 3.483 3.483 6.364 90.00 90.00 90.00
Space group P4/nmm (No. 129, origin choice 2)
Symmetry-distinct sites (fractional):
Hf 0.250 0.250 0.177
H 0.250 0.750 0.000
Pd 0.250 0.250 0.620

***

A relaxed PrNd4HoS8 crystal, computed with GGA-PBE.

Total energy (eV/atom): -6.2944
M_tot (μB per atom): 0.0394
Formation energy (no corrections) (meV per atom): -1905
Crystal system: trigonal

Lattice parameters (Å, degrees): 8.3052 8.3052 20.3683 90.00 90.00 120.00
Space group R3m (No. 160, hexagonal axes)
Symmetry-distinct sites (fractional):
Pr 0.0000 0.0000 0.0000
Nd 0.0000 0.0000 0.3769
Nd 0.0051 0.5025 0.5026
Ho 0.0000 0.0000 0.6271
S 0.0000 0.0000 0.2435
S 0.0000 0.0000 0.7551
S 0.0211 0.5105 0.7554
S 0.1700 0.3399 0.5836

***

A relaxed Hf2CoSi2 crystal, computed with GGA-PBE.

Total energy (eV/atom): -8.3466
M_tot (μB per atom): 0.0000
Formation energy (no corrections) (meV per atom): -775
Crystal system: tetragonal

Lattice parameters (Å, degrees): 6.132 6.132 4.152 90.00 90.00 90.00
Space group P4/mbm (No. 127)
Symmetry-distinct sites (fractional):
Hf 0.170 0.330 0.000
Co 0.000 0.000 0.500
Si 0.139 0.639 0.500

***

A relaxed TbCdRe crystal, computed with GGA-PBE.

Total energy (eV/atom): -6.1013
M_tot (μB per atom): 0.0000
Formation energy (eV/f.u.): -0.31
Crystal system: monoclinic

Lattice parameters (Å, degrees): 3.151 3.149 13.126 90.00 90.09 90.00
Space group P2_1/m (No. 11)
Symmetry-distinct sites (fractional):
Tb 0.249 0.250 0.286
Cd 0.252 0.250 0.912
Re 0.250 0.250 0.553

***

A relaxed HoN2Cl4 crystal, computed with GGA-PBE.

Total energy (eV/atom): -3.7868
M_tot (μB per atom): 0.9983
Formation energy (no corrections) (meV per atom): 301
Crystal system: monoclinic

Lattice parameters (Å, degrees): 18.923 3.961 6.477 90.00 109.31 90.00
Space group C2/m (No. 12)
Symmetry-distinct sites (fractional):
Ho 0.000 0.000 0.000
N 0.233 0.500 0.736
Cl 0.058 0.000 0.678
Cl 0.093 0.500 0.184

***

A relaxed ZnCo2Re crystal, computed with GGA-PBE.

Total energy (eV/atom): -6.8897
M_tot (μB per atom): 0.4557
Formation energy (eV/f.u.): 0.38
Crystal system: trigonal

Lattice parameters (Å, degrees): 2.6644 2.6644 24.8879 90.00 90.00 120.00
Space group R-3m (No. 166, hexagonal axes)
Symmetry-distinct sites (fractional):
Zn 0.0000 0.0000 0.0000
Co 0.0000 0.0000 0.2495
Re 0.0000 0.0000 0.5000

***

A relaxed Ba6Pb2ClO crystal, computed with GGA-PBE.

Total energy (eV/atom): -3.7058
M_tot (μB per atom): 0.0000
Formation energy (no corrections) (meV per atom): -1130
Crystal system: orthorhombic

Lattice parameters (Å, degrees): 8.158 11.527 8.159 90.00 90.00 90.00
Space group Pmmn (No. 59, origin choice 2)
Symmetry-distinct sites (fractional):
Ba 0.014 0.250 0.015
Ba 0.015 0.250 0.486
Ba 0.250 0.015 0.250
Pb 0.250 0.000 0.750
Cl 0.250 0.750 0.249
O 0.250 0.250 0.251

***

A relaxed TcPb3F crystal, computed with GGA-PBE.

Total energy (eV/atom): -4.4921
M_tot (μB per atom): 0.6067
Formation energy (no corrections) (meV per atom): 180
Crystal system: cubic

Lattice parameters (Å, degrees): 5.001 5.001 5.001 90.00 90.00 90.00
Space group Pm-3m (No. 221)
Symmetry-distinct sites (fractional):
Tc 0.000 0.000 0.000
Pb 0.000 0.500 0.500
F 0.500 0.500 0.500

***

A relaxed Pb3Se2 crystal, computed with GGA-PBE.

Total energy (eV/atom): -3.8941
M_tot (μB per atom): 0.0000
Formation energy (no corrections) (meV per atom): -275
Crystal system: orthorhombic

Lattice parameters (Å, degrees): 10.313 15.300 7.559 90.00 90.00 90.00
Space group Fdd2 (No. 43)
Symmetry-distinct sites (fractional):
Pb 0.000 0.000 0.000
Pb 0.078 0.401 0.921
Se 0.043 0.203 0.998

***

A relaxed LaPa2Sn crystal, computed with GGA-PBE.

Total energy (eV/atom): -7.0835
M_tot (μB per atom): 0.0007
Formation energy (eV/f.u.): -0.41
Crystal system: tetragonal

Lattice parameters (Å, degrees): 4.612 4.612 5.051 90.00 90.00 90.00
Space group P4/mmm (No. 123)
Symmetry-distinct sites (fractional):
La 0.000 0.000 0.000
Pa 0.000 0.500 0.500
Sn 0.500 0.500 0.000

***

A relaxed Ca3Au11 crystal, computed with GGA-PBE.

Total energy (eV/atom): -3.4814
M_tot (μB per atom): 0.0000
Formation energy (eV/f.u.): -6.68
Crystal system: orthorhombic

Lattice parameters (Å, degrees): 4.675 9.921 13.116 90.00 90.00 90.00
Space group Immm (No. 71)
Symmetry-distinct sites (fractional):
Ca 0.000 0.000 0.000
Ca 0.000 0.000 0.297
Au 0.000 0.171 0.500
Au 0.000 0.271 0.124
Au 0.000 0.364 0.334
Au 0.000 0.500 0.000

***

A relaxed Rb2HfScSn crystal, computed with GGA-PBE.

Total energy (eV/atom): -3.3512
M_tot (μB per atom): 0.3007
Formation energy (eV/f.u.): 5.47
Crystal system: tetragonal

Lattice parameters (Å, degrees): 6.739 6.739 5.578 90.00 90.00 90.00
Space group P4/mmm (No. 123)
Symmetry-distinct sites (fractional):
Rb 0.000 0.500 0.000
Hf 0.000 0.000 0.500
Sc 0.500 0.500 0.500
Sn 0.000 0.000 0.000

***

A relaxed Li4TlBi2 crystal, computed with GGA-PBE.

Total energy (eV/atom): -2.7594
M_tot (μB per atom): 0.0000
Formation energy (eV/f.u.): -1.53
Crystal system: tetragonal

Lattice parameters (Å, degrees): 5.355 5.355 11.659 90.00 90.00 90.00
Space group I4/mmm (No. 139)
Symmetry-distinct sites (fractional):
Li 0.000 0.500 0.000
Li 0.000 0.500 0.250
Tl 0.000 0.000 0.000
Bi 0.000 0.000 0.365

***

A relaxed CdGaCuPt crystal, computed with GGA-PBE.

Total energy (eV/atom): -3.7131
M_tot (μB per atom): 0.0000
Formation energy (eV/f.u.): -0.77
Crystal system: cubic

Lattice parameters (Å, degrees): 6.347 6.347 6.347 90.00 90.00 90.00
Space group F-43m (No. 216)
Symmetry-distinct sites (fractional):
Cd 0.000 0.000 0.000
Ga 0.000 0.000 0.500
Cu 0.250 0.250 0.250
Pt 0.250 0.250 0.750